1.
DFT (PBE) results for InTcW after structural relaxation.

Structure (CIF):
```
data_InTcW
_chemical_formula_sum 'In1 Tc1 W1'
_cell_length_a 5.6570
_cell_length_b 5.6570
_cell_length_c 5.6570
_cell_angle_alpha 147.70
_cell_angle_beta 147.70
_cell_angle_gamma 46.32
_space_group_name_H-M_alt 'P 1'
_space_group_IT_number 1
loop_
_space_group_symop_operation_xyz
'x,y,z'
loop_
_atom_site_label
_atom_site_type_symbol
_atom_site_fract_x
_atom_site_fract_y
_atom_site_fract_z
In1 In 0.9971 0.9971 0.0000
Tc1 Tc 0.3183 0.3183 0.0000
W1 W 0.6845 0.6845 0.0000
```

Results
**Final energy**: -8.469 eV/atom
**SG**: I4mm, No. 107
**Excess energy over the best structure of this formula in the dataset**: 0 meV per atom
**Energy of formation from the pure elements**: 0.22 eV per atom
**Volume**: 51.5 Å³/cell

=====

2.
DFT (PBE) results for LiHo5Tl4 after structural relaxation.

Structure (CIF):
```
data_LiHo5Tl4
_chemical_formula_sum 'Li1 Ho5 Tl4'
_cell_length_a 3.6234
_cell_length_b 3.6234
_cell_length_c 20.1555
_cell_angle_alpha 90.00
_cell_angle_beta 90.00
_cell_angle_gamma 90.00
_space_group_name_H-M_alt 'P 1'
_space_group_IT_number 1
loop_
_space_group_symop_operation_xyz
'x,y,z'
loop_
_atom_site_label
_atom_site_type_symbol
_atom_site_fract_x
_atom_site_fract_y
_atom_site_fract_z
Li1 Li 0.0000 0.0000 0.0000
Ho1 Ho 0.5000 0.5000 0.0918
Ho2 Ho 0.5000 0.5000 0.2937
Ho3 Ho 0.5000 0.5000 0.5000
Ho4 Ho 0.5000 0.5000 0.7063
Ho5 Ho 0.5000 0.5000 0.9082
Tl1 Tl 0.0000 0.0000 0.1898
Tl2 Tl 0.0000 0.0000 0.3967
Tl3 Tl 0.0000 0.0000 0.6033
Tl4 Tl 0.0000 0.0000 0.8102
```

Results
**Final energy**: -3.679 eV/atom
**SG**: P4/mmm, No. 123
**Energy of formation from the pure elements**: -0.25 eV per atom
**Volume**: 264.6 Å³/cell

=====

3.
DFT (PBE) results for MnTl2Cr after structural relaxation.

Structure (CIF):
```
data_MnTl2Cr
_chemical_formula_sum 'Mn2 Tl4 Cr2'
_cell_length_a 7.4382
_cell_length_b 7.4382
_cell_length_c 6.0686
_cell_angle_alpha 52.20
_cell_angle_beta 52.20
_cell_angle_gamma 90.00
_space_group_name_H-M_alt 'P 1'
_space_group_IT_number 1
loop_
_space_group_symop_operation_xyz
'x,y,z'
loop_
_atom_site_label
_atom_site_type_symbol
_atom_site_fract_x
_atom_site_fract_y
_atom_site_fract_z
Cr1 Cr 0.5000 0.5000 0.0000
Cr2 Cr 0.2500 0.7500 0.5000
Tl1 Tl 0.6400 0.1250 0.2500
Tl2 Tl 0.1100 0.6250 0.2500
Tl3 Tl 0.3750 0.3600 0.7500
Tl4 Tl 0.8750 0.8900 0.7500
Mn1 Mn 0.0000 0.0000 0.0000
Mn2 Mn 0.7500 0.2500 0.5000
```

Results
**Final energy**: -4.733 eV/atom
**SG**: I-42d, No. 122
**Excess energy over the best structure of this formula in the dataset**: 735 meV per atom
**Energy of formation from the pure elements**: 1.15 eV per atom
**Volume**: 167.5 Å³/cell

=====

4.
DFT (PBE) results for PrY5ErSc2 after structural relaxation.

Structure (CIF):
```
data_PrY5ErSc2
_chemical_formula_sum 'Pr2 Y10 Er2 Sc4'
_cell_length_a 5.6345
_cell_length_b 11.1480
_cell_length_c 9.3610
_cell_angle_alpha 90.00
_cell_angle_beta 90.00
_cell_angle_gamma 104.64
_space_group_name_H-M_alt 'P 1'
_space_group_IT_number 1
loop_
_space_group_symop_operation_xyz
'x,y,z'
loop_
_atom_site_label
_atom_site_type_symbol
_atom_site_fract_x
_atom_site_fract_y
_atom_site_fract_z
Pr1 Pr 0.8166 0.6333 0.5179
Pr2 Pr 0.1834 0.3667 0.0179
Y1 Y 0.3899 0.7797 0.0471
Y2 Y 0.7352 0.4703 0.8354
Y3 Y 0.4689 0.9377 0.7485
Y4 Y 0.3074 0.6148 0.7163
Y5 Y 0.9911 0.9822 0.5149
Y6 Y 0.6101 0.2203 0.5471
Y7 Y 0.2648 0.5297 0.3354
Y8 Y 0.5311 0.0623 0.2485
Y9 Y 0.6926 0.3852 0.2163
Y10 Y 0.0089 0.0178 0.0149
Er1 Er 0.5972 0.1945 0.9193
Er2 Er 0.4028 0.8055 0.4193
Sc1 Sc 0.8868 0.7736 0.8244
Sc2 Sc 0.1363 0.2726 0.7001
Sc3 Sc 0.1132 0.2264 0.3244
Sc4 Sc 0.8637 0.7274 0.2001
```

Results
**Final energy**: -5.868 eV/atom
**SG**: Cmc2_1, No. 36
**Energy of formation from the pure elements**: 0.17 eV per atom
**Volume**: 568.9 Å³/cell

=====

5.
DFT (PBE) results for ErMgHg6 after structural relaxation.

Structure (CIF):
```
data_ErMgHg6
_chemical_formula_sum 'Er1 Mg1 Hg6'
_cell_length_a 4.6507
_cell_length_b 4.6507
_cell_length_c 8.6940
_cell_angle_alpha 90.00
_cell_angle_beta 90.00
_cell_angle_gamma 90.00
_space_group_name_H-M_alt 'P 1'
_space_group_IT_number 1
loop_
_space_group_symop_operation_xyz
'x,y,z'
loop_
_atom_site_label
_atom_site_type_symbol
_atom_site_fract_x
_atom_site_fract_y
_atom_site_fract_z
Er1 Er 0.0000 0.0000 0.0000
Mg1 Mg 0.0000 0.0000 0.5000
Hg1 Hg 0.5000 0.5000 0.0000
Hg2 Hg 0.5000 0.5000 0.5000
Hg3 Hg 0.5000 0.0000 0.2543
Hg4 Hg 0.5000 0.0000 0.7457
Hg5 Hg 0.0000 0.5000 0.2543
Hg6 Hg 0.0000 0.5000 0.7457
```

Results
**Final energy**: -1.192 eV/atom
**SG**: P4/mmm, No. 123
**Excess energy over the best structure of this formula in the dataset**: 0 meV per atom
**Energy of formation from the pure elements**: -0.20 eV per atom
**Volume**: 188.0 Å³/cell

=====

6.
DFT (PBE) results for K6CdHg23 after structural relaxation.

Structure (CIF):
```
data_K6CdHg23
_chemical_formula_sum 'K6 Cd1 Hg23'
_cell_length_a 10.8555
_cell_length_b 10.8555
_cell_length_c 10.8555
_cell_angle_alpha 60.00
_cell_angle_beta 60.00
_cell_angle_gamma 60.00
_space_group_name_H-M_alt 'P 1'
_space_group_IT_number 1
loop_
_space_group_symop_operation_xyz
'x,y,z'
loop_
_atom_site_label
_atom_site_type_symbol
_atom_site_fract_x
_atom_site_fract_y
_atom_site_fract_z
K1 K 0.7719 0.7719 0.2281
K2 K 0.2281 0.2281 0.7719
K3 K 0.7719 0.2281 0.2281
K4 K 0.2281 0.7719 0.7719
K5 K 0.7719 0.2281 0.7719
K6 K 0.2281 0.7719 0.2281
Cd1 Cd 0.5000 0.5000 0.5000
Hg1 Hg 0.5139 0.1620 0.1620
Hg2 Hg 0.4861 0.8380 0.8380
Hg3 Hg 0.1620 0.1620 0.5139
Hg4 Hg 0.1620 0.1620 0.1620
Hg5 Hg 0.8380 0.8380 0.4861
Hg6 Hg 0.8380 0.8380 0.8380
Hg7 Hg 0.1620 0.5139 0.1620
Hg8 Hg 0.8380 0.4861 0.8380
Hg9 Hg 0.5000 0.5000 0.0000
Hg10 Hg 0.0000 0.0000 0.5000
Hg11 Hg 0.5000 0.0000 0.0000
Hg12 Hg 0.0000 0.5000 0.5000
Hg13 Hg 0.5000 0.0000 0.5000
Hg14 Hg 0.0000 0.5000 0.0000
Hg15 Hg 0.8605 0.3798 0.3798
Hg16 Hg 0.1395 0.6202 0.6202
Hg17 Hg 0.3798 0.3798 0.8605
Hg18 Hg 0.3798 0.3798 0.3798
Hg19 Hg 0.6202 0.6202 0.1395
Hg20 Hg 0.6202 0.6202 0.6202
Hg21 Hg 0.3798 0.8605 0.3798
Hg22 Hg 0.6202 0.1395 0.6202
Hg23 Hg 0.0000 0.0000 0.0000
```

Results
**Final energy**: -0.659 eV/atom
**SG**: Fm-3m, No. 225
**Energy of formation from the pure elements**: -0.18 eV per atom
**Volume**: 904.6 Å³/cell

=====

Question: Among the records above, which one has the highest final energy?
Answer: K6CdHg23

=====

Question: What is the formula in the second record?
Answer: LiHo5Tl4

=====

Question: The highest volume belongs to which entry?
Answer: K6CdHg23